Entry 1:
# KZnBrF2 | the Alexandria database | PBE | relaxed
# * final energy: -3.612 eV/atom
# * polymorph energy (0 for the lowest one): 0 meV per atom
# * V: 19.9 A^3/atom
data_KZnBrF2
_chemical_formula_sum 'K4 Zn4 Br4 F8'
_cell_length_a 4.016
_cell_length_b 12.850
_cell_length_c 7.700
_cell_angle_alpha 90.00
_cell_angle_beta 90.00
_cell_angle_gamma 90.00
_symmetry_space_group_name_H-M 'C m c m'
_symmetry_Int_Tables_number 63
_symmetry_space_group_name_Hall '-C 2c 2'
loop_
_atom_site_label
_atom_site_type_symbol
_atom_site_fract_x
_atom_site_fract_y
_atom_site_fract_z
K1 K 0.000 0.228 0.250
Zn1 Zn 0.000 0.500 0.000
Br1 Br 0.000 0.038 0.750
F1 F 0.000 0.356 0.544

Entry 2:
# BaP2WS | the Alexandria database | PBE | relaxed
# * final energy: -3.509 eV/atom
# * polymorph energy (0 for the lowest one): 2996 meV per atom
# * V: 30.6 A^3/atom
data_BaP2WS
_chemical_formula_sum 'Ba1 P2 W1 S1'
_cell_length_a 5.322
_cell_length_b 5.322
_cell_length_c 5.408
_cell_angle_alpha 90.00
_cell_angle_beta 90.00
_cell_angle_gamma 90.00
_symmetry_space_group_name_H-M 'P 4/m m m'
_symmetry_Int_Tables_number 123
_symmetry_space_group_name_Hall '-P 4 2'
loop_
_atom_site_label
_atom_site_type_symbol
_atom_site_fract_x
_atom_site_fract_y
_atom_site_fract_z
Ba1 Ba 0.000 0.000 0.000
P1 P 0.000 0.500 0.000
W1 W 0.500 0.500 0.500
S1 S 0.000 0.000 0.500

Entry 3:
# NaCdCuSb | the Alexandria database | PBE | relaxed
# * final energy: -2.698 eV/atom
# * V: 23.0 A^3/atom
data_NaCdCuSb
_chemical_formula_sum 'Na2 Cd2 Cu2 Sb2'
_cell_length_a 4.326
_cell_length_b 4.326
_cell_length_c 9.829
_cell_angle_alpha 90.00
_cell_angle_beta 90.00
_cell_angle_gamma 90.00
_symmetry_space_group_name_H-M 'P 4/n m m'
_symmetry_Int_Tables_number 129
loop_
_symmetry_equiv_pos_as_xyz
'x,y,z'
'-x,-y,-z'
'-y+1/2,x,z'
'y+1/2,-x,-z'
'-x+1/2,-y+1/2,z'
'x+1/2,y+1/2,-z'
'y,-x+1/2,z'
'-y,x+1/2,-z'
'x+1/2,-y,-z'
'-x+1/2,y,z'
'-y,-x,-z'
'y,x,z'
'-x,y+1/2,-z'
'x,-y+1/2,z'
'y+1/2,x+1/2,-z'
'-y+1/2,-x+1/2,z'
loop_
_atom_site_label
_atom_site_type_symbol
_atom_site_fract_x
_atom_site_fract_y
_atom_site_fract_z
Na1 Na 0.250 0.250 0.234
Cd1 Cd 0.250 0.750 0.500
Cu1 Cu 0.250 0.750 0.000
Sb1 Sb 0.250 0.250 0.841

Entry 4:
# U2Si3Ge3 | the Alexandria database | PBE | relaxed
# * final energy: -6.917 eV/atom
# * V: 17.4 A^3/atom
data_U2Si3Ge3
_chemical_formula_sum 'U2 Si3 Ge3'
_cell_length_a 4.112
_cell_length_b 4.136
_cell_length_c 8.185
_cell_angle_alpha 90.00
_cell_angle_beta 90.00
_cell_angle_gamma 90.00
_symmetry_space_group_name_H-M 'P m m m'
_symmetry_Int_Tables_number 47
_symmetry_space_group_name_Hall '-P 2 2'
loop_
_atom_site_label
_atom_site_type_symbol
_atom_site_fract_x
_atom_site_fract_y
_atom_site_fract_z
U1 U 0.000 0.000 0.246
Si1 Si 0.000 0.500 0.000
Si2 Si 0.500 0.000 0.000
Si3 Si 0.500 0.000 0.500
Ge1 Ge 0.000 0.500 0.500
Ge2 Ge 0.500 0.500 0.242

Entry 5:
# Cd3Sn12As5 | the Alexandria database | PBE | relaxed
# * final energy: -3.583 eV/atom
# * V: 30.3 A^3/atom
# * ΔE_f: 229 kJ/mol of formula units
data_Cd3Sn12As5
_chemical_formula_sum 'Cd24 Sn96 As40'
_cell_length_a 16.919
_cell_length_b 16.919
_cell_length_c 16.919
_cell_angle_alpha 90.00
_cell_angle_beta 90.00
_cell_angle_gamma 90.00
_symmetry_space_group_name_H-M 'I a -3 d'
_symmetry_Int_Tables_number 230
_symmetry_space_group_name_Hall '-I 4bd 2c 3'
loop_
_atom_site_label
_atom_site_type_symbol
_atom_site_fract_x
_atom_site_fract_y
_atom_site_fract_z
Cd1 Cd 0.000 0.250 0.125
Sn1 Sn 0.023 0.079 0.652
As1 As 0.000 0.000 0.000
As2 As 0.000 0.250 0.375

Entry 6:
# TlOsW2 | the Alexandria database | PBE | relaxed
# * final energy: -8.698 eV/atom
# * polymorph energy (0 for the lowest one): 635 meV per atom
# * V: 19.6 A^3/atom
# * ΔE_f: 454 kJ/mol of formula units
data_TlOsW2
_chemical_formula_sum 'Tl4 Os4 W8'
_cell_length_a 7.601
_cell_length_b 7.601
_cell_length_c 5.429
_cell_angle_alpha 90.00
_cell_angle_beta 90.00
_cell_angle_gamma 90.00
_symmetry_space_group_name_H-M 'I -4 2 d'
_symmetry_Int_Tables_number 122
_symmetry_space_group_name_Hall 'I -4 2bw'
loop_
_atom_site_label
_atom_site_type_symbol
_atom_site_fract_x
_atom_site_fract_y
_atom_site_fract_z
Tl1 Tl 0.000 0.000 0.000
Os1 Os 0.000 0.000 0.500
W1 W 0.194 0.250 0.625

Entry 7:
# CeEuTm2 | the Alexandria database | PBE | relaxed
# * final energy: -6.078 eV/atom
# * polymorph energy (0 for the lowest one): 50 meV per atom
# * V: 32.7 A^3/atom
# * ΔE_f: 81 kJ/mol of formula units
data_CeEuTm2
_chemical_formula_sum 'Ce4 Eu4 Tm8'
_cell_length_a 8.057
_cell_length_b 8.057
_cell_length_c 8.057
_cell_angle_alpha 90.00
_cell_angle_beta 90.00
_cell_angle_gamma 90.00
_symmetry_space_group_name_H-M 'F m -3 m'
_symmetry_Int_Tables_number 225
_symmetry_space_group_name_Hall '-F 4 2 3'
loop_
_atom_site_label
_atom_site_type_symbol
_atom_site_fract_x
_atom_site_fract_y
_atom_site_fract_z
Ce1 Ce 0.000 0.000 0.000
Eu1 Eu 0.000 0.000 0.500
Tm1 Tm 0.250 0.250 0.250

Entry 8:
# TiVOs2Br | the Alexandria database | PBE | relaxed
# * final energy: -6.643 eV/atom
# * V: 18.2 A^3/atom
data_TiVOs2Br
_chemical_formula_sum 'Ti1 V1 Os2 Br1'
_cell_length_a 4.579
_cell_length_b 4.579
_cell_length_c 4.347
_cell_angle_alpha 90.00
_cell_angle_beta 90.00
_cell_angle_gamma 90.00
_symmetry_space_group_name_H-M 'P 4/m m m'
_symmetry_Int_Tables_number 123
_symmetry_space_group_name_Hall '-P 4 2'
loop_
_atom_site_label
_atom_site_type_symbol
_atom_site_fract_x
_atom_site_fract_y
_atom_site_fract_z
Ti1 Ti 0.000 0.000 0.000
V1 V 0.500 0.500 0.000
Os1 Os 0.000 0.500 0.500
Br1 Br 0.500 0.500 0.500

Entry 9:
# MnZnSi2Te | the Alexandria database | PBE | relaxed
# * final energy: -3.473 eV/atom
# * V: 22.2 A^3/atom
data_MnZnSi2Te
_chemical_formula_sum 'Mn1 Zn1 Si2 Te1'
_cell_length_a 4.511
_cell_length_b 4.511
_cell_length_c 5.457
_cell_angle_alpha 90.00
_cell_angle_beta 90.00
_cell_angle_gamma 90.00
_symmetry_space_group_name_H-M 'P 4/m m m'
_symmetry_Int_Tables_number 123
_symmetry_space_group_name_Hall '-P 4 2'
loop_
_atom_site_label
_atom_site_type_symbol
_atom_site_fract_x
_atom_site_fract_y
_atom_site_fract_z
Mn1 Mn 0.000 0.000 0.000
Zn1 Zn 0.500 0.500 0.500
Si1 Si 0.000 0.500 0.500
Te1 Te 0.500 0.500 0.000

Entry 10:
# MnSi2As | the Alexandria database | PBE | relaxed
# * final energy: -6.140 eV/atom
# * V: 16.0 A^3/atom
data_MnSi2As
_chemical_formula_sum 'Mn2 Si4 As2'
_cell_length_a 8.282
_cell_length_b 2.834
_cell_length_c 5.701
_cell_angle_alpha 90.00
_cell_angle_beta 107.43
_cell_angle_gamma 90.00
_symmetry_space_group_name_H-M 'C 1 m 1'
_symmetry_Int_Tables_number 8
_symmetry_space_group_name_Hall 'C -2y'
loop_
_atom_site_label
_atom_site_type_symbol
_atom_site_fract_x
_atom_site_fract_y
_atom_site_fract_z
Mn1 Mn 0.000 0.000 0.000
Si1 Si 0.280 0.000 0.999
Si2 Si 0.466 0.000 0.670
As1 As 0.113 0.500 0.353

Entry 11:
# BeTlRu2 | the Alexandria database | PBE | relaxed
# * final energy: -5.797 eV/atom
# * polymorph energy (0 for the lowest one): 91 meV per atom
# * V: 15.4 A^3/atom
# * ΔE_f: 140 kJ/mol of formula units
data_BeTlRu2
_chemical_formula_sum 'Be2 Tl2 Ru4'
_cell_length_a 8.085
_cell_length_b 2.894
_cell_length_c 5.391
_cell_angle_alpha 90.00
_cell_angle_beta 102.49
_cell_angle_gamma 90.00
_symmetry_space_group_name_H-M 'C 1 2/m 1'
_symmetry_Int_Tables_number 12
_symmetry_space_group_name_Hall '-C 2y'
loop_
_atom_site_label
_atom_site_type_symbol
_atom_site_fract_x
_atom_site_fract_y
_atom_site_fract_z
Be1 Be 0.000 0.000 0.000
Tl1 Tl 0.000 0.500 0.500
Ru1 Ru 0.233 0.500 0.191

Entry 12:
# InTePb2 | the Alexandria database | PBE | relaxed
# * final energy: -3.309 eV/atom
# * polymorph energy (0 for the lowest one): 91 meV per atom
# * V: 30.2 A^3/atom
data_InTePb2
_chemical_formula_sum 'In4 Te4 Pb8'
_cell_length_a 7.848
_cell_length_b 7.848
_cell_length_c 7.848
_cell_angle_alpha 90.00
_cell_angle_beta 90.00
_cell_angle_gamma 90.00
_symmetry_space_group_name_H-M 'F m -3 m'
_symmetry_Int_Tables_number 225
_symmetry_space_group_name_Hall '-F 4 2 3'
loop_
_atom_site_label
_atom_site_type_symbol
_atom_site_fract_x
_atom_site_fract_y
_atom_site_fract_z
In1 In 0.000 0.000 0.000
Te1 Te 0.000 0.000 0.500
Pb1 Pb 0.250 0.250 0.250

Entry 13:
# La2ZnCu6Pd | the Alexandria database | PBE | relaxed
# * final energy: -4.290 eV/atom
# * V: 18.7 A^3/atom
# * ΔE_f: -194 kJ/mol of formula units
data_La2ZnCu6Pd
_chemical_formula_sum 'La4 Zn2 Cu12 Pd2'
_cell_length_a 11.991
_cell_length_b 4.877
_cell_length_c 8.758
_cell_angle_alpha 90.00
_cell_angle_beta 133.17
_cell_angle_gamma 90.00
_symmetry_space_group_name_H-M 'C 1 2/m 1'
_symmetry_Int_Tables_number 12
_symmetry_space_group_name_Hall '-C 2y'
loop_
_atom_site_label
_atom_site_type_symbol
_atom_site_fract_x
_atom_site_fract_y
_atom_site_fract_z
La1 La 0.233 0.000 0.189
Zn1 Zn 0.000 0.000 0.500
Cu1 Cu 0.012 0.251 0.271
Cu2 Cu 0.248 0.500 0.428
Pd1 Pd 0.000 0.500 0.000

Entry 14:
# MgSiWBr2 | the Alexandria database | PBE | relaxed
# * final energy: -3.619 eV/atom
# * V: 27.5 A^3/atom
data_MgSiWBr2
_chemical_formula_sum 'Mg1 Si1 W1 Br2'
_cell_length_a 4.855
_cell_length_b 4.855
_cell_length_c 5.842
_cell_angle_alpha 90.00
_cell_angle_beta 90.00
_cell_angle_gamma 90.00
_symmetry_space_group_name_H-M 'P 4/m m m'
_symmetry_Int_Tables_number 123
_symmetry_space_group_name_Hall '-P 4 2'
loop_
_atom_site_label
_atom_site_type_symbol
_atom_site_fract_x
_atom_site_fract_y
_atom_site_fract_z
Mg1 Mg 0.000 0.000 0.000
Si1 Si 0.500 0.500 0.000
W1 W 0.000 0.000 0.500
Br1 Br 0.000 0.500 0.500

Entry 15:
# Cs3PH | the Alexandria database | PBE | relaxed
# * final energy: -2.292 eV/atom
# * polymorph energy (0 for the lowest one): 136 meV per atom
# * V: 39.5 A^3/atom
data_Cs3PH
_chemical_formula_sum 'Cs3 P1 H1'
_cell_length_a 5.822
_cell_length_b 5.822
_cell_length_c 5.822
_cell_angle_alpha 90.00
_cell_angle_beta 90.00
_cell_angle_gamma 90.00
_symmetry_space_group_name_H-M 'P m -3 m'
_symmetry_Int_Tables_number 221
_symmetry_space_group_name_Hall '-P 4 2 3'
loop_
_atom_site_label
_atom_site_type_symbol
_atom_site_fract_x
_atom_site_fract_y
_atom_site_fract_z
Cs1 Cs 0.000 0.000 0.500
P1 P 0.500 0.500 0.500
H1 H 0.000 0.000 0.000

Entry 16:
# Er2Co9Si6 | the Alexandria database | PBE | relaxed
# * final energy: -6.683 eV/atom
# * V: 14.1 A^3/atom
data_Er2Co9Si6
_chemical_formula_sum 'Er2 Co9 Si6'
_cell_length_a 5.1529
_cell_length_b 5.1529
_cell_length_c 10.4363
_cell_angle_alpha 90.00
_cell_angle_beta 90.00
_cell_angle_gamma 120.00
_symmetry_space_group_name_H-M 'P 6/m m m'
_symmetry_Int_Tables_number 191
_symmetry_space_group_name_Hall '-P 6 2'
loop_
_atom_site_label
_atom_site_type_symbol
_atom_site_fract_x
_atom_site_fract_y
_atom_site_fract_z
Er1 Er 0.0000 0.0000 0.1876
Co1 Co 0.0000 0.5000 0.0000
Co2 Co 0.0000 0.5000 0.3325
Si1 Si 0.3333 0.6667 0.1656
Si2 Si 0.3333 0.6667 0.5000

Entry 17:
# V6Re5Ge | the Alexandria database | PBE | relaxed
# * final energy: -10.420 eV/atom
# * V: 14.0 A^3/atom
# * ΔE_f: -335 kJ/mol of formula units
data_V6Re5Ge
_chemical_formula_sum 'V12 Re10 Ge2'
_cell_length_a 4.288
_cell_length_b 6.108
_cell_length_c 12.842
_cell_angle_alpha 90.00
_cell_angle_beta 90.00
_cell_angle_gamma 90.00
_symmetry_space_group_name_H-M 'I m m m'
_symmetry_Int_Tables_number 71
_symmetry_space_group_name_Hall '-I 2 2'
loop_
_atom_site_label
_atom_site_type_symbol
_atom_site_fract_x
_atom_site_fract_y
_atom_site_fract_z
V1 V 0.000 0.244 0.000
V2 V 0.000 0.253 0.332
Re1 Re 0.000 0.000 0.168
Re2 Re 0.000 0.500 0.165
Re3 Re 0.000 0.500 0.500
Ge1 Ge 0.000 0.000 0.500

Entry 18:
# Pm4PaN5 | the Alexandria database | PBE | relaxed
# * final energy: -8.562 eV/atom
# * V: 16.3 A^3/atom
data_Pm4PaN5
_chemical_formula_sum 'Pm8 Pa2 N10'
_cell_length_a 8.019
_cell_length_b 8.019
_cell_length_c 5.068
_cell_angle_alpha 90.00
_cell_angle_beta 90.00
_cell_angle_gamma 90.00
_symmetry_space_group_name_H-M 'I 4/m'
_symmetry_Int_Tables_number 87
_symmetry_space_group_name_Hall '-I 4'
loop_
_atom_site_label
_atom_site_type_symbol
_atom_site_fract_x
_atom_site_fract_y
_atom_site_fract_z
Pm1 Pm 0.100 0.301 0.000
Pa1 Pa 0.000 0.000 0.500
N1 N 0.000 0.000 0.000
N2 N 0.092 0.277 0.500

Entry 19:
# PmNd5Ga6 | the Alexandria database | PBE | relaxed
# * final energy: -4.453 eV/atom
# * V: 25.1 A^3/atom
# * ΔE_f: -645 kJ/mol of formula units
data_PmNd5Ga6
_chemical_formula_sum 'Pm2 Nd10 Ga12'
_cell_length_a 5.218
_cell_length_b 15.670
_cell_length_c 7.382
_cell_angle_alpha 90.00
_cell_angle_beta 90.00
_cell_angle_gamma 90.00
_symmetry_space_group_name_H-M 'C m m m'
_symmetry_Int_Tables_number 65
_symmetry_space_group_name_Hall '-C 2 2'
loop_
_atom_site_label
_atom_site_type_symbol
_atom_site_fract_x
_atom_site_fract_y
_atom_site_fract_z
Pm1 Pm 0.000 0.000 0.000
Nd1 Nd 0.000 0.000 0.500
Nd2 Nd 0.000 0.333 0.000
Nd3 Nd 0.000 0.333 0.500
Ga1 Ga 0.000 0.166 0.249
Ga2 Ga 0.000 0.500 0.249

Entry 20:
# Pm4As3Cl | the Alexandria database | PBE | relaxed
# * final energy: -5.917 eV/atom
# * V: 26.5 A^3/atom
data_Pm4As3Cl
_chemical_formula_sum 'Pm8 As6 Cl2'
_cell_length_a 8.440
_cell_length_b 11.904
_cell_length_c 4.213
_cell_angle_alpha 90.00
_cell_angle_beta 90.00
_cell_angle_gamma 90.00
_symmetry_space_group_name_H-M 'C m m m'
_symmetry_Int_Tables_number 65
_symmetry_space_group_name_Hall '-C 2 2'
loop_
_atom_site_label
_atom_site_type_symbol
_atom_site_fract_x
_atom_site_fract_y
_atom_site_fract_z
Pm1 Pm 0.000 0.244 0.000
Pm2 Pm 0.235 0.000 0.500
As1 As 0.000 0.000 0.000
As2 As 0.250 0.250 0.500
Cl1 Cl 0.000 0.500 0.000